Computed, not measured: crystalline LiReB5 at its relaxed geometry at the PBE level of DFT.

Calculated values
Spin magnetization (μB per formula unit): 0.0
Energy relative to the elements (meV per atom): 154

```
data_LiReB5
_chemical_formula_sum 'Li4 Re4 B20'
_cell_length_a 7.167
_cell_length_b 4.683
_cell_length_c 7.443
_cell_angle_alpha 90.00
_cell_angle_beta 91.06
_cell_angle_gamma 90.00
_space_group_name_H-M_alt 'C 1 2/c 1'
_space_group_IT_number 15
_space_group_name_Hall '-C 2yc'
loop_
_atom_site_label
_atom_site_type_symbol
_atom_site_fract_x
_atom_site_fract_y
_atom_site_fract_z
_atom_site_occupancy
Li1 Li 0.250 0.250 0.000 1
Re1 Re 0.000 0.001 0.250 1
B1 B 0.000 0.481 0.250 1
B2 B 0.138 0.178 0.488 1
B3 B 0.196 0.367 0.676 1
```